Compound: MnSi2SN
Source: Alexandria
Functional: PBE-GGA
Structure: optimized geometry

Output
Formation energy (no corrections) (meV per atom): -121.6

Cell lengths 13.6263, 2.7442, 3.6072 Å; angles 90.00, 103.79, 90.00 degrees
Last column: nearest neighbours and their distance in Å.
Space group Cm (No. 8)
One atom of each set of equivalent atoms:
Mn 0.0000 0.0000 0.0000  1 N 2.12, 2 S 2.17
Si 0.0714 0.5000 0.5631  2 N 1.82
Si 0.2479 0.0000 0.2363  1 N 1.79
S 0.3728 0.0000 0.9051  2 Mn 2.17, 1 Si 2.30
N 0.1398 0.0000 0.8391  3 Si 1.79-1.82

---

Compound: Ac5Tl2H
Source: Alexandria
Functional: PBE-GGA
Structure: optimized geometry

Output
Total energy (eV/atom): -3.661

Cell lengths 7.7110, 7.7110, 9.7596 Å; angles 90.00, 90.00, 90.00 degrees
Last column: nearest neighbours and their distance in Å.
Space group I4mm (No. 107)
One atom of each set of equivalent atoms:
Ac 0.0000 0.0000 0.0000  1 H 2.51
Ac 0.2488 0.2488 0.2462  1 H 2.72
Tl 0.0000 0.5000 0.4982  10 Ac 3.65-3.86
H 0.0000 0.0000 0.2568  5 Ac 2.51-2.72

---

Compound: BeSiCl
Source: Alexandria
Functional: PBE-GGA
Structure: optimized geometry

Output
Formation energy (no corrections) (meV per atom): 91.2

Cell lengths 2.9135, 5.4720, 15.2194 Å; angles 90.00, 90.00, 90.00 degrees
Last column: nearest neighbours and their distance in Å.
Space group Fmm2 (No. 42)
One atom of each set of equivalent atoms:
Be 0.0000 0.0000 0.0000  2 Cl 2.01
Si 0.0000 0.0000 0.6308  2 Be 2.47
Cl 0.0000 0.0000 0.4087  2 Be 2.01

---

Compound: LiY5Hg6
Source: Alexandria
Functional: PBE-GGA
Structure: optimized geometry

Output
Total energy (eV/atom): -3.488

Cell lengths 5.2145, 15.5843, 7.3696 Å; angles 90.00, 90.00, 90.00 degrees
Last column: nearest neighbours and their distance in Å.
Space group Cmmm (No. 65)
One atom of each set of equivalent atoms:
Li 0.0000 0.0000 0.0000  8 Hg 3.09-3.20
Y 0.0000 0.0000 0.5000  8 Hg 3.18-3.19
Y 0.0000 0.3306 0.5000  8 Hg 3.21-3.24
Y 0.0000 0.3383 0.0000  8 Hg 3.13-3.26
Hg 0.0000 0.1626 0.2403  1 Li 3.09, 7 Y 3.15-3.26
Hg 0.0000 0.5000 0.2510  6 Y 3.13-3.21, 2 Li 3.20

---

Compound: La2PmPr4Sm
Source: Alexandria
Functional: PBE-GGA
Structure: optimized geometry

Output
Total energy (eV/atom): -4.790

Cell lengths 5.2322, 5.2375, 10.5030 Å; angles 90.00, 90.20, 90.00 degrees
Last column: nearest neighbours and their distance in Å.
Space group P2/m (No. 10)
One atom of each set of equivalent atoms:
La 0.0000 0.0000 0.0000  8 Pr 3.70-3.71, 4 Sm 3.70
La 0.5000 0.5000 0.5000  4 Pm 3.70, 8 Pr 3.70-3.72
Pm 0.0000 0.0000 0.5000  8 Pr 3.70-3.72, 4 La 3.70
Pr 0.9997 0.5000 0.2495  2 Sm 3.70-3.71, 4 Pr 3.70, 4 La 3.70-3.72, 2 Pm 3.71
Pr 0.5003 0.0000 0.2499  4 Pr 3.70, 2 Pm 3.70-3.72, 4 La 3.70-3.71, 2 Sm 3.71
Sm 0.5000 0.5000 0.0000  8 Pr 3.70-3.71, 4 La 3.70

---

Compound: KSnRh3
Source: Alexandria
Functional: PBE-GGA
Structure: optimized geometry

Output
Total energy (eV/atom): -3.586

Cell lengths 4.7714, 4.7714, 4.7714 Å; angles 90.00, 90.00, 90.00 degrees
Last column: nearest neighbours and their distance in Å.
Space group Pm-3m (No. 221)
One atom of each set of equivalent atoms:
K 0.0000 0.0000 0.0000  6 Rh 2.39
Sn 0.5000 0.5000 0.5000  12 Rh 3.37
Rh 0.0000 0.0000 0.5000  2 K 2.39

---

Compound: Ac3CeRu2N6
Source: Alexandria
Functional: PBE-GGA
Structure: optimized geometry

Output
Formation energy (no corrections) (meV per atom): -661.3

Cell lengths 6.0888, 6.0888, 6.8157 Å; angles 90.00, 90.00, 120.00 degrees
Last column: nearest neighbours and their distance in Å.
Space group P-3m1 (No. 164)
One atom of each set of equivalent atoms:
Ac 0.0000 0.0000 0.0000  6 N 2.71
Ac 0.3333 0.6667 0.6686  9 N 3.06, 1 Ru 3.35
Ce 0.0000 0.0000 0.5000  6 N 2.31
Ru 0.3333 0.6667 0.1767  3 N 1.87
N 0.1732 0.3465 0.2933  1 Ru 1.87

---

Compound: MgTiIn
Source: Alexandria
Functional: PBE-GGA
Structure: optimized geometry

Output
Total energy (eV/atom): -4.090

Cell lengths 11.2118, 3.0672, 7.3654 Å; angles 90.00, 104.97, 90.00 degrees
Last column: nearest neighbours and their distance in Å.
Space group C2/m (No. 12)
One atom of each set of equivalent atoms:
Mg 0.1456 0.0000 0.0348  5 Mg 2.95-3.17, 4 In 3.05-3.11, 3 Ti 3.15-3.29
Ti 0.1938 0.0000 0.6122  4 Ti 2.78-3.07, 5 In 2.99-3.11
In 0.0261 0.5000 0.2992  5 Ti 2.99-3.11, 4 Mg 3.05-3.11, 3 In 3.07-3.16

---

Density of states at the Fermi level (states/eV/f.u.)
1.4 10.0 0.6 9.4 13.7 7.2 8.0 2.3
M_tot (μB/atom)
0.000 0.000 0.000 0.000 0.000 0.333 0.000 0.000